The following is a DFT calculation (PBE) of crystalline Pr2Sm7Er3 at its relaxed geometry.

Computed properties:
**Energy above the most stable polymorph in this dataset**: 0 meV per atom
**E**: -4.6217 eV/atom
**Formation energy from the elements**: 0.07 eV/atom
**D(E_F)**: 17.79 states/eV per cell
**Theoretical density**: 7.58 g/cm³

Lattice parameters (Å, degrees): 6.4289 3.5632 17.6528 90.00 96.01 90.00
Closest atoms and distances in Å follow each position.
Atoms (fractional coordinates):
1 Pr 0.0594 0.0000 0.1714  5 Sm 3.43-3.58, 2 Pr 3.56, 4 Er 3.63-3.73
2 Pr 0.9406 0.0000 0.8286  5 Sm 3.43-3.58, 2 Pr 3.56, 4 Er 3.63-3.73
3 Sm 0.0000 0.5000 0.5000  8 Sm 3.54-3.65, 4 Er 3.68
4 Sm 0.2286 0.0000 0.6687  1 Pr 3.53, 8 Sm 3.56-3.70, 3 Er 3.61-3.70
5 Sm 0.2580 0.0000 0.9973  2 Sm 3.10-3.33, 2 Pr 3.43-3.45
6 Sm 0.2772 0.5000 0.3368  7 Sm 3.54-3.70, 3 Er 3.56-3.75, 2 Pr 3.58
7 Sm 0.7228 0.5000 0.6632  7 Sm 3.54-3.70, 3 Er 3.56-3.75, 2 Pr 3.58
8 Sm 0.7420 0.0000 0.0027  2 Sm 3.10-3.33, 2 Pr 3.43-3.45
9 Sm 0.7714 0.0000 0.3313  1 Pr 3.53, 8 Sm 3.56-3.70, 3 Er 3.61-3.70
10 Er 0.4528 0.5000 0.8417  2 Er 3.56, 7 Sm 3.61-3.75, 4 Pr 3.63-3.73
11 Er 0.5000 0.0000 0.5000  10 Sm 3.56-3.68, 2 Er 3.56
12 Er 0.5472 0.5000 0.1583  2 Er 3.56, 7 Sm 3.61-3.75, 4 Pr 3.63-3.73